# 1
Below is Li2AgHg after structural relaxation, with properties calculated at the PBE-GGA level.

## Properties
DFT total energy   -1.808 eV/atom
DFT formation energy   -63 meV per atom
Density   6.75 g/cm³

Cell and atoms, written as POSCAR:
```
Li2AgHg
1.0
4.069 0.000 0.000
0.000 4.069 0.000
0.000 0.000 19.158
Li Ag Hg
8 4 4
Cartesian
1.007 1.017 2.395 Li
1.017 3.042 7.184 Li
1.017 3.062 16.763 Li
1.027 1.017 11.974 Li
3.042 3.052 11.974 Li
3.052 1.007 16.763 Li
3.052 1.027 7.184 Li
3.062 3.052 2.395 Li
0.000 0.000 0.000 Ag
0.000 2.034 4.790 Ag
2.034 0.000 14.369 Ag
2.034 2.034 9.579 Ag
0.000 0.000 9.579 Hg
0.000 2.034 14.369 Hg
2.034 0.000 4.790 Hg
2.034 2.034 0.000 Hg
```

# 2
Below is Nd2SiSbRh6 after structural relaxation, with properties calculated at the PBE-GGA level.

## Properties
Uncorrected formation energy   -0.534 eV per atom
DFT total energy   -6.853 eV/atom
Density   8.42 g/cm³

Cell and atoms, written as POSCAR:
```
Nd2SiSbRh6
1.0
6.202 0.000 0.000
3.017 5.445 0.000
2.898 1.657 6.163
Nd Si Sb Rh
2 1 1 6
Cartesian
2.993 1.748 1.510 Nd
9.125 5.354 4.653 Nd
6.059 3.551 3.081 Si
0.000 0.000 0.000 Sb
4.283 4.560 2.086 Rh
4.361 2.547 4.188 Rh
6.042 5.612 4.046 Rh
6.075 1.489 2.117 Rh
7.756 4.555 1.974 Rh
7.834 2.542 4.077 Rh
```

# 3
Below is LiReSb2 after structural relaxation, with properties calculated at the PBE-GGA level.

## Properties
Uncorrected formation energy   0.712 eV per atom
DFT total energy   -4.940 eV/atom
Relative energy among the computed polymorphs   2.703 eV per formula unit
Density   9.18 g/cm³

Cell and atoms, written as POSCAR:
```
LiReSb2
1.0
6.810 0.000 0.000
0.000 6.810 0.000
0.000 0.000 6.810
Li Re Sb
4 4 8
Cartesian
0.000 0.000 0.000 Li
0.000 3.405 3.405 Li
3.405 0.000 3.405 Li
3.405 3.405 0.000 Li
1.702 1.702 1.702 Re
1.702 5.107 5.107 Re
5.107 1.702 5.107 Re
5.107 5.107 1.702 Re
0.000 0.000 3.405 Sb
0.000 3.405 0.000 Sb
1.702 1.702 5.107 Sb
1.702 5.107 1.702 Sb
3.405 0.000 0.000 Sb
3.405 3.405 3.405 Sb
5.107 1.702 1.702 Sb
5.107 5.107 5.107 Sb
```

# 4
Below is TaIn2Pb after structural relaxation, with properties calculated at the PBE-GGA level.

## Properties
DFT total energy   -4.838 eV/atom
DFT formation energy   421 meV per atom
Density   11.10 g/cm³

Cell and atoms, written as POSCAR:
```
TaIn2Pb
1.0
11.066 0.000 0.000
0.000 3.158 0.000
-0.582 0.000 5.289
Ta In Pb
2 4 2
Cartesian
0.000 0.000 0.000 Ta
5.533 1.579 0.000 Ta
2.505 1.579 1.246 In
2.445 0.000 4.043 In
8.038 0.000 1.246 In
7.978 1.579 4.043 In
-0.291 1.579 2.645 Pb
5.242 0.000 2.645 Pb
```

# 5
Below is CoSnHgGe2 after structural relaxation, with properties calculated at the PBE-GGA level.

## Properties
DFT total energy   -4.009 eV/atom
DFT formation energy   121 meV per atom
Density   8.11 g/cm³

Cell and atoms, written as POSCAR:
```
CoSnHgGe2
1.0
4.556 0.000 0.000
0.000 4.556 0.000
0.000 0.000 5.163
Co Sn Hg Ge
1 1 1 2
Cartesian
0.000 0.000 0.000 Co
0.000 0.000 2.581 Sn
2.278 2.278 2.581 Hg
0.000 2.278 0.000 Ge
2.278 0.000 0.000 Ge
```

# 6
Below is Ti2BeAl4 after structural relaxation, with properties calculated at the PBE-GGA level.

## Properties
DFT total energy   -4.585 eV/atom
DFT formation energy   342 meV per atom
Density   2.93 g/cm³

Cell and atoms, written as POSCAR:
```
Ti2BeAl4
1.0
4.245 0.000 0.000
0.000 4.245 0.000
0.000 0.000 13.361
Ti Be Al
4 2 8
Cartesian
0.000 0.000 1.764 Ti
0.000 0.000 11.598 Ti
2.122 2.122 4.917 Ti
2.122 2.122 8.444 Ti
0.000 0.000 6.681 Be
2.122 2.122 0.000 Be
0.000 0.000 4.392 Al
0.000 0.000 8.970 Al
0.000 2.122 0.000 Al
0.000 2.122 6.681 Al
2.122 0.000 0.000 Al
2.122 0.000 6.681 Al
2.122 2.122 2.289 Al
2.122 2.122 11.072 Al
```

# 7
Below is Ca2AlSe after structural relaxation, with properties calculated at the PBE-GGA level.

## Properties
Uncorrected formation energy   -0.695 eV per atom
DFT total energy   -3.502 eV/atom
Relative energy among the computed polymorphs   0.753 eV per formula unit
Density   2.66 g/cm³

Cell and atoms, written as POSCAR:
```
Ca2AlSe
1.0
4.324 0.000 0.000
0.000 4.324 0.000
0.000 0.000 6.223
Ca Al Se
2 1 1
Cartesian
0.000 0.000 0.000 Ca
2.162 2.162 3.103 Ca
0.000 0.000 3.113 Al
2.162 2.162 6.219 Se
```

# 8
Below is LaNdTh2Bi4 after structural relaxation, with properties calculated at the PBE-GGA level.

## Properties
DFT total energy   -5.804 eV/atom
DFT formation energy   -797 meV per atom
Density   9.40 g/cm³

Cell and atoms, written as POSCAR:
```
LaNdTh2Bi4
1.0
6.539 0.000 0.000
0.000 6.539 0.000
0.000 0.000 13.073
La Nd Th Bi
2 2 4 8
Cartesian
0.000 0.000 0.000 La
3.270 3.270 6.537 La
0.000 3.270 9.805 Nd
3.270 0.000 3.268 Nd
0.000 0.000 6.537 Th
0.000 3.270 3.268 Th
3.270 0.000 9.805 Th
3.270 3.270 0.000 Th
0.000 0.000 3.293 Bi
0.000 0.000 9.780 Bi
0.000 3.270 0.010 Bi
0.000 3.270 6.526 Bi
3.270 0.000 6.547 Bi
3.270 0.000 13.063 Bi
3.270 3.270 3.243 Bi
3.270 3.270 9.830 Bi
```

# 9
Below is SrCd2Br after structural relaxation, with properties calculated at the PBE-GGA level.

## Properties
Uncorrected formation energy   -0.689 eV per atom
DFT total energy   -1.985 eV/atom
Relative energy among the computed polymorphs   0.000 eV per formula unit
Density   4.44 g/cm³

Cell and atoms, written as POSCAR:
```
SrCd2Br
1.0
8.519 0.000 0.000
0.000 4.930 0.000
-0.182 0.000 6.982
Sr Cd Br
2 4 2
Cartesian
0.000 0.000 0.000 Sr
4.259 2.465 0.000 Sr
1.424 2.465 2.248 Cd
2.841 0.000 2.030 Cd
5.683 0.000 2.248 Cd
7.100 2.465 2.030 Cd
1.234 2.465 5.555 Br
5.494 0.000 5.555 Br
```

# 10
Below is Pm3Nd5Ho2 after structural relaxation, with properties calculated at the PBE-GGA level.

## Properties
DFT total energy   -4.551 eV/atom
Relative energy among the computed polymorphs   0.000 eV per formula unit
DFT formation energy   174 meV per atom
Density   7.13 g/cm³

Cell and atoms, written as POSCAR:
```
Pm3Nd5Ho2
1.0
5.437 -7.478 0.000
5.437 7.478 0.000
-5.428 0.000 8.516
Pm Nd Ho
6 10 4
Cartesian
1.342 1.873 0.481 Pm
1.365 4.048 6.387 Pm
-1.372 -1.873 4.739 Pm
6.817 1.873 3.777 Pm
4.080 -4.048 2.129 Pm
4.103 -1.873 8.035 Pm
1.365 7.162 6.387 Nd
-1.331 1.876 6.434 Nd
4.080 3.412 2.129 Nd
1.384 -1.876 2.176 Nd
4.080 0.317 2.129 Nd
1.365 -0.317 6.387 Nd
4.061 1.876 6.340 Nd
1.365 -3.412 6.387 Nd
6.775 -1.876 2.082 Nd
4.080 -7.162 2.129 Nd
1.342 1.880 3.779 Ho
-1.372 -1.880 8.037 Ho
6.817 1.880 0.479 Ho
4.103 -1.880 4.737 Ho
```

# 11
Below is TaVCu after structural relaxation, with properties calculated at the PBE-GGA level.

## Properties
DFT total energy   -8.169 eV/atom
Relative energy among the computed polymorphs   0.342 eV per formula unit
DFT formation energy   187 meV per atom
Density   11.04 g/cm³

Cell and atoms, written as POSCAR:
```
TaVCu
1.0
3.204 0.000 0.000
0.000 3.204 0.000
0.000 0.000 8.656
Ta V Cu
2 2 2
Cartesian
0.000 0.000 0.000 Ta
1.602 1.602 4.328 Ta
0.000 0.000 2.837 V
1.602 1.602 7.165 V
0.000 0.000 5.834 Cu
1.602 1.602 1.506 Cu
```

# 12
Below is Sr2Ga3CuPd4 after structural relaxation, with properties calculated at the PBE-GGA level.

## Properties
DFT total energy   -4.368 eV/atom
DFT formation energy   -637 meV per atom
Density   7.18 g/cm³

Cell and atoms, written as POSCAR:
```
Sr2Ga3CuPd4
1.0
4.420 0.000 0.000
0.000 4.420 0.000
0.000 0.000 10.337
Sr Ga Cu Pd
2 3 1 4
Cartesian
0.000 2.210 2.533 Sr
2.210 0.000 7.803 Sr
0.000 0.000 0.000 Ga
0.000 2.210 6.453 Ga
2.210 0.000 3.884 Ga
2.210 2.210 0.000 Cu
0.000 0.000 5.168 Pd
0.000 2.210 8.985 Pd
2.210 0.000 1.352 Pd
2.210 2.210 5.168 Pd
```